*one*
Material: PrSbPdRh
Method: DFT, PBE
State: optimized geometry

Cell lengths 4.880, 4.880, 4.880 Å; angles 60.00, 60.00, 60.00 degrees
Sites, in units of the cell vectors:
Pr  0.250  0.250  0.250
Sb  0.750  0.750  0.750
Rh  0.500  0.500  0.500
Pd  0.000  0.000  0.000

Output
ρ ... 9.54 g/cm³



*two*
Material: PrSbPdRh
Method: DFT, PBE
State: optimized geometry

Cell lengths 4.080, 4.928, 5.143 Å; angles 107.34, 90.00, 114.46 degrees
Sites, in units of the cell vectors:
Pr  0.033  0.067  0.858
Sb  0.262  0.525  0.486
Pd  0.821  0.642  0.198
Rh  0.546  0.091  0.357

Output
ρ ... 8.81 g/cm³



Comparing the structures above, *one* comes out on top by 0.007 eV/atom.